KGeO3 meta-GGA SCAN PBEsol geometry; total DFT energy (no corrections) = -8.500 eV/atom; energy relative to the elements, uncorrected = 348 kJ/mol of formula units
1.0
4.4075 0.0000 0.0000
0.0000 4.4075 0.0000
0.0000 0.0000 4.4075
O K Ge
3 1 1
Direct
0.0000 0.5000 0.0000 O
0.5000 0.0000 0.0000 O
0.0000 0.0000 0.5000 O
0.0000 0.0000 0.0000 K
0.5000 0.5000 0.5000 Ge